Material: PuVGeO6
Method: DFT, PBE+U
State: optimized geometry

```
18
Lattice="5.0613 0.0000 0.0000 -2.5306 4.3832 0.0000 0.0000 0.0000 9.5122" Properties=species:S:1:pos:R:3 pbc="T T T"
Pu 0.0000 0.0000 0.0000
Pu 0.0000 0.0000 4.7561
V 0.0000 2.9221 2.3780
V 2.5306 1.4611 7.1341
Ge 0.0000 2.9221 7.1341
Ge 2.5306 1.4611 2.3780
O -0.8597 1.5720 6.0704
O -1.5990 2.8527 8.1978
O 0.8597 1.5720 8.1978
O -0.7394 4.3417 6.0704
O 1.7913 0.0415 1.3143
O 0.9316 1.5305 3.4418
O 1.5990 2.8527 6.0704
O 0.7394 4.3417 8.1978
O 3.2700 0.0415 3.4418
O 1.6710 2.8111 1.3143
O 4.1297 1.5305 1.3143
O 3.3903 2.8111 3.4418
```

**SG**: No. 163
**VASP energy**: -8.4187 eV/atom